This record from Alexandria via LeMat-Bulk describes crystalline Hf2In2Ga at its relaxed geometry. The functional is PBE.

Output
- Symmetry: P4/mbm
- DFT formation energy: -0.065 eV/atom
- Distance to the lowest polymorph of the same formula: 0.0 meV per atom

Cell: 7.1003 7.1003 4.5236 Å, 90.00 90.00 90.00°
With the nearest neighbours (Å) after each atom.
Fractional positions:
Hf1 0.3450 0.8450 0.0000  2 Ga 2.69, 2 In 2.97
Hf2 0.8450 0.6550 0.0000  2 Ga 2.69, 2 In 2.97
Hf3 0.6550 0.1550 0.0000  2 Ga 2.69, 2 In 2.97
Hf4 0.1550 0.3450 0.0000  2 Ga 2.69, 2 In 2.97
Ga1 0.0000 0.0000 0.0000  4 Hf 2.69
Ga2 0.5000 0.5000 0.0000  4 Hf 2.69
In1 0.1530 0.6530 0.5000  6 Hf 2.97-3.15, 1 In 3.07
In2 0.6530 0.8470 0.5000  6 Hf 2.97-3.15, 1 In 3.07
In3 0.8470 0.3470 0.5000  6 Hf 2.97-3.15, 1 In 3.07
In4 0.3470 0.1530 0.5000  6 Hf 2.97-3.15, 1 In 3.07